Entry from the Alexandria database: crystalline Zn5Hg12Sb3 at its relaxed geometry (GGA-PBE).

Cell lengths 16.6107, 16.6107, 16.6107 Å; angles 90.00, 90.00, 90.00 degrees
Space group Ia-3d (No. 230)
One atom of each set of equivalent atoms:
Zn: 0.0000 0.0000 0.0000 [16 per cell]
Zn: 0.0000 0.2500 0.3750 [24 per cell]
Hg: 0.0264 0.0727 0.6480 [96 per cell]
Sb: 0.0000 0.2500 0.1250 [24 per cell]

Properties
magnetization = 0.00 μB per formula unit
density = 8.98 g cm⁻³
DOS(E_F) = 0.38 states/eV/atom
formation energy from raw total energies = 159 meV per atom
energy = -0.959 eV/atom



Entry from the Alexandria database: crystalline Pm7Ho3Mg at its relaxed geometry (GGA-PBE).

Cell lengths 7.0914, 7.0914, 8.6386 Å; angles 90.00, 90.00, 120.00 degrees
Space group P3m1 (No. 156)
One atom of each set of equivalent atoms:
Pm: 0.0000 0.0000 0.0000 [1 per cell]
Pm: 0.0006 0.5003 0.0018 [3 per cell]
Pm: 0.3285 0.1643 0.6651 [3 per cell]
Ho: 0.1656 0.3312 0.3328 [3 per cell]
Mg: 0.3333 0.6667 0.6655 [1 per cell]

Properties
magnetization = 0.00 μB per formula unit
density = 6.77 g cm⁻³
DOS(E_F) = 1.37 states/eV/atom
offset from the most stable computed form = 0 meV/atom
E_form = 0.1826 eV/atom
energy = -4.234 eV/atom



Entry from the Alexandria database: crystalline Sc4Ir2Pd at its relaxed geometry (GGA-PBE).

Cell lengths 4.5681, 4.5681, 22.2231 Å; angles 90.00, 90.00, 120.00 degrees
Space group R-3m (No. 166, hexagonal axes)
One atom of each set of equivalent atoms:
Sc: 0.0000 0.0000 0.1206 [6 per cell]
Sc: 0.0000 0.0000 0.3717 [6 per cell]
Ir: 0.0000 0.0000 0.2488 [6 per cell]
Pd: 0.0000 0.0000 0.5000 [3 per cell]

Properties
magnetization = 0.00 μB per formula unit
density = 8.32 g cm⁻³
DOS(E_F) = 0.48 states/eV/atom
E_form = -0.9142 eV/atom
energy = -7.806 eV/atom